No. 1
5
Lattice="-1.930 1.930 9.288 1.930 -1.930 9.288 1.930 1.930 -9.288" Properties=species:S:1:pos:R:3 comment="PBEsol KNb2Bi2, relaxed" delta_e_f_ev_per_fu=0.18 total_magnetization_mub_per_fu=0.00 rho_g_cm3=7.71 pbc="T T T"
K 0.000 0.000 0.000
Nb 1.930 0.000 4.644
Nb 0.000 1.930 4.644
Bi 0.000 0.000 6.912
Bi 0.000 0.000 11.664


No. 2
4
Lattice="0.000 3.116 3.116 3.116 0.000 3.116 3.116 3.116 0.000" Properties=species:S:1:pos:R:3 comment="PBEsol NaOsPd2, relaxed" delta_e_f_ev_per_fu=2.60 total_magnetization_mub_per_fu=1.13 rho_g_cm3=11.69 pbc="T T T"
Na 0.000 0.000 0.000
Os 3.116 3.116 3.116
Pd 1.558 1.558 1.558
Pd 4.675 4.675 4.675


No. 3
4
Lattice="2.266 1.308 5.372 -2.266 1.308 5.372 0.000 -2.616 5.372" Properties=species:S:1:pos:R:3 comment="PBEsol SrAlAg2, relaxed" delta_e_f_ev_per_fu=-1.01 total_magnetization_mub_per_fu=0.00 rho_g_cm3=5.74 pbc="T T T"
Sr 0.000 0.000 0.000
Al 0.000 0.000 8.058
Ag 0.000 0.000 3.198
Ag 0.000 0.000 12.917


No. 4
5
Lattice="4.424 0.000 0.000 0.000 4.424 0.000 0.000 0.000 4.424" Properties=species:S:1:pos:R:3 comment="PBEsol MnBSe3, relaxed" e_form_raw_kcal_per_mol_atoms=15.39 total_magnetization_mub_per_fu=4.45 rho_g_cm3=5.80 pbc="T T T"
Mn 0.000 0.000 0.000
B 2.212 2.212 2.212
Se 0.000 2.212 2.212
Se 2.212 0.000 2.212
Se 2.212 2.212 0.000


What is the formula in the fourth record?
MnBSe3


Copy entry 3 word for word.
4
Lattice="2.266 1.308 5.372 -2.266 1.308 5.372 0.000 -2.616 5.372" Properties=species:S:1:pos:R:3 comment="PBEsol SrAlAg2, relaxed" delta_e_f_ev_per_fu=-1.01 total_magnetization_mub_per_fu=0.00 rho_g_cm3=5.74 pbc="T T T"
Sr 0.000 0.000 0.000
Al 0.000 0.000 8.058
Ag 0.000 0.000 3.198
Ag 0.000 0.000 12.917